Entry 1:
# KTl2W | Alexandria | PBE | relaxed
data_KTl2W
_chemical_formula_sum 'K4 Tl8 W4'
_symmetry_space_group_name_H-M 'I -4 2 d'
_symmetry_Int_Tables_number 122
_symmetry_space_group_name_Hall 'I -4 2bw'
_cell_length_a 6.0976
_cell_length_b 6.0976
_cell_length_c 17.7954
_cell_angle_alpha 90.00
_cell_angle_beta 90.00
_cell_angle_gamma 90.00
loop_
_atom_site_label
_atom_site_type_symbol
_atom_site_fract_x
_atom_site_fract_y
_atom_site_fract_z
K1 K 0.0000 0.0000 0.0000
Tl1 Tl 0.0746 0.2500 0.6250
W1 W 0.0000 0.0000 0.5000
# **Magnetic moment**: 2.09 μB/f.u.
# **DFT formation energy**: 1.1495 eV/atom

=====

Entry 2:
# Cs2ErI6 | Alexandria | PBE | relaxed
data_Cs2ErI6
_chemical_formula_sum 'Cs4 Er2 I12'
_symmetry_space_group_name_H-M 'A m m 2'
_symmetry_Int_Tables_number 38
_cell_length_a 4.2399
_cell_length_b 17.3753
_cell_length_c 11.0809
_cell_angle_alpha 90.00
_cell_angle_beta 90.00
_cell_angle_gamma 90.00
loop_
_symmetry_equiv_pos_as_xyz
'x,y,z'
'-x,-y,z'
'-x,y,z'
'x,-y,z'
'x,y+1/2,z+1/2'
'-x,-y+1/2,z+1/2'
'-x,y+1/2,z+1/2'
'x,-y+1/2,z+1/2'
loop_
_atom_site_label
_atom_site_type_symbol
_atom_site_fract_x
_atom_site_fract_y
_atom_site_fract_z
Cs1 Cs 0.0000 0.1748 0.0000
Er1 Er 0.5000 0.0000 0.5193
I1 I 0.0000 0.0000 0.7208
I2 I 0.0000 0.1069 0.3980
I3 I 0.5000 0.0000 0.0742
I4 I 0.5000 0.1778 0.6947
# **Formation energy from raw total energies**: -1158 meV/atom
# **Magnetic moment**: 0.00 μB/f.u.

=====

Entry 3:
# Tb2ScHg8 | Alexandria | PBE | relaxed
data_Tb2ScHg8
_chemical_formula_sum 'Tb4 Sc2 Hg16'
_symmetry_space_group_name_H-M 'C 1 2/m 1'
_symmetry_Int_Tables_number 12
_cell_length_a 15.7614
_cell_length_b 4.9746
_cell_length_c 7.1415
_cell_angle_alpha 90.00
_cell_angle_beta 110.10
_cell_angle_gamma 90.00
loop_
_symmetry_equiv_pos_as_xyz
'x,y,z'
'-x,-y,-z'
'-x,y,-z'
'x,-y,z'
'x+1/2,y+1/2,z'
'-x+1/2,-y+1/2,-z'
'-x+1/2,y+1/2,-z'
'x+1/2,-y+1/2,z'
loop_
_atom_site_label
_atom_site_type_symbol
_atom_site_fract_x
_atom_site_fract_y
_atom_site_fract_z
Tb1 Tb 0.2109 0.0000 0.1601
Sc1 Sc 0.0000 0.5000 0.5000
Hg1 Hg 0.0217 0.0000 0.2338
Hg2 Hg 0.0984 0.5000 0.9368
Hg3 Hg 0.1536 0.0000 0.6737
Hg4 Hg 0.1621 0.5000 0.3906
# **Magnetic moment**: 0.00 μB/f.u.
# **DFT formation energy**: -0.2812 eV/atom

=====

Entry 4:
# Tb10PrSm4 | Alexandria | PBE | relaxed
data_Tb10PrSm4
_chemical_formula_sum 'Tb20 Pr2 Sm8'
_symmetry_space_group_name_H-M 'I 4/m'
_symmetry_Int_Tables_number 87
_symmetry_space_group_name_Hall '-I 4'
_cell_length_a 9.8585
_cell_length_b 9.8585
_cell_length_c 10.9085
_cell_angle_alpha 90.00
_cell_angle_beta 90.00
_cell_angle_gamma 90.00
loop_
_atom_site_label
_atom_site_type_symbol
_atom_site_fract_x
_atom_site_fract_y
_atom_site_fract_z
Tb1 Tb 0.0000 0.5000 0.2500
Tb2 Tb 0.1224 0.7806 0.1693
Pr1 Pr 0.0000 0.0000 0.0000
Sm1 Sm 0.0537 0.7125 0.5000
# **Magnetic moment**: 0.00 μB/f.u.
# **DFT formation energy**: 0.4449 eV/atom

=====

Entry 5:
# CdBiOs2 | Alexandria | PBE | relaxed
data_CdBiOs2
_chemical_formula_sum 'Cd4 Bi4 Os8'
_symmetry_space_group_name_H-M 'F m -3 m'
_symmetry_Int_Tables_number 225
_symmetry_space_group_name_Hall '-F 4 2 3'
_cell_length_a 6.5993
_cell_length_b 6.5993
_cell_length_c 6.5993
_cell_angle_alpha 90.00
_cell_angle_beta 90.00
_cell_angle_gamma 90.00
loop_
_atom_site_label
_atom_site_type_symbol
_atom_site_fract_x
_atom_site_fract_y
_atom_site_fract_z
Cd1 Cd 0.0000 0.0000 0.0000
Bi1 Bi 0.0000 0.0000 0.5000
Os1 Os 0.2500 0.2500 0.2500
# **Magnetic moment**: 0.00 μB/f.u.
# **DFT formation energy**: 0.9627 eV/atom

=====

Entry 6:
# Re2SbTe | Alexandria | PBE | relaxed
data_Re2SbTe
_chemical_formula_sum 'Re4 Sb2 Te2'
_symmetry_space_group_name_H-M 'I m m 2'
_symmetry_Int_Tables_number 44
_cell_length_a 3.1297
_cell_length_b 4.6508
_cell_length_c 11.2114
_cell_angle_alpha 90.00
_cell_angle_beta 90.00
_cell_angle_gamma 90.00
loop_
_symmetry_equiv_pos_as_xyz
'x,y,z'
'-x,-y,z'
'-x,y,z'
'x,-y,z'
'x+1/2,y+1/2,z+1/2'
'-x+1/2,-y+1/2,z+1/2'
'-x+1/2,y+1/2,z+1/2'
'x+1/2,-y+1/2,z+1/2'
loop_
_atom_site_label
_atom_site_type_symbol
_atom_site_fract_x
_atom_site_fract_y
_atom_site_fract_z
Re1 Re 0.0000 0.0000 0.0000
Re2 Re 0.0000 0.5000 0.3259
Sb1 Sb 0.0000 0.0000 0.5660
Te1 Te 0.0000 0.5000 0.7607
# **Formation energy from raw total energies**: 819 meV/atom
# **Magnetic moment**: 0.01 μB/f.u.

=====

Entry 7:
# K4Tm3PuSe8 | Alexandria | PBE | relaxed
data_K4Tm3PuSe8
_chemical_formula_sum 'K12 Tm9 Pu3 Se24'
_symmetry_space_group_name_H-M 'R -3 m'
_symmetry_Int_Tables_number 166
_symmetry_space_group_name_Hall '-R 3 2"'
_cell_length_a 8.3988
_cell_length_b 8.3988
_cell_length_c 22.9862
_cell_angle_alpha 90.00
_cell_angle_beta 90.00
_cell_angle_gamma 120.00
loop_
_atom_site_label
_atom_site_type_symbol
_atom_site_fract_x
_atom_site_fract_y
_atom_site_fract_z
K1 K 0.0000 0.0000 0.0000
K2 K 0.0000 0.5000 0.0000
Tm1 Tm 0.0000 0.5000 0.5000
Pu1 Pu 0.0000 0.0000 0.5000
Se1 Se 0.0000 0.0000 0.2342
Se2 Se 0.0067 0.5033 0.7655
# **Formation energy from raw total energies**: -1668 meV/atom
# **Magnetic moment**: 5.00 μB/f.u.

=====

Entry 8:
# TbErAlCo | Alexandria | PBE | relaxed
data_TbErAlCo
_chemical_formula_sum 'Tb4 Er4 Al4 Co4'
_symmetry_space_group_name_H-M 'F -4 3 m'
_symmetry_Int_Tables_number 216
_symmetry_space_group_name_Hall 'F -4 2 3'
_cell_length_a 6.9940
_cell_length_b 6.9940
_cell_length_c 6.9940
_cell_angle_alpha 90.00
_cell_angle_beta 90.00
_cell_angle_gamma 90.00
loop_
_atom_site_label
_atom_site_type_symbol
_atom_site_fract_x
_atom_site_fract_y
_atom_site_fract_z
Tb1 Tb 0.0000 0.0000 0.0000
Er1 Er 0.0000 0.0000 0.5000
Al1 Al 0.2500 0.2500 0.7500
Co1 Co 0.2500 0.2500 0.2500
# **Magnetic moment**: 1.02 μB/f.u.
# **DFT formation energy**: -0.2082 eV/atom

=====

Entry 9:
# Ga3Cu2Au4 | Alexandria | PBE | relaxed
data_Ga3Cu2Au4
_chemical_formula_sum 'Ga12 Cu8 Au16'
_symmetry_space_group_name_H-M 'C 1 2/c 1'
_symmetry_Int_Tables_number 15
_cell_length_a 14.8770
_cell_length_b 9.0680
_cell_length_c 4.5547
_cell_angle_alpha 90.00
_cell_angle_beta 102.99
_cell_angle_gamma 90.00
loop_
_symmetry_equiv_pos_as_xyz
'x,y,z'
'-x,-y,-z'
'-x,y,-z+1/2'
'x,-y,z+1/2'
'x+1/2,y+1/2,z'
'-x+1/2,-y+1/2,-z'
'-x+1/2,y+1/2,-z+1/2'
'x+1/2,-y+1/2,z+1/2'
loop_
_atom_site_label
_atom_site_type_symbol
_atom_site_fract_x
_atom_site_fract_y
_atom_site_fract_z
Ga1 Ga 0.0000 0.1368 0.2500
Ga2 Ga 0.1748 0.3589 0.0772
Cu1 Cu 0.0895 0.1119 0.7986
Au1 Au 0.0685 0.3825 0.5433
Au2 Au 0.2101 0.1079 0.3686
# **Magnetic moment**: 0.00 μB/f.u.
# **DFT formation energy**: -0.1045 eV/atom

=====

Entry 10:
# Pr6NiPt2I3 | Alexandria | PBE | relaxed
data_Pr6NiPt2I3
_chemical_formula_sum 'Pr12 Ni2 Pt4 I6'
_symmetry_space_group_name_H-M 'C 1 2/m 1'
_symmetry_Int_Tables_number 12
_cell_length_a 7.3952
_cell_length_b 12.8149
_cell_length_c 8.5136
_cell_angle_alpha 90.00
_cell_angle_beta 106.82
_cell_angle_gamma 90.00
loop_
_symmetry_equiv_pos_as_xyz
'x,y,z'
'-x,-y,-z'
'-x,y,-z'
'x,-y,z'
'x+1/2,y+1/2,z'
'-x+1/2,-y+1/2,-z'
'-x+1/2,y+1/2,-z'
'x+1/2,-y+1/2,z'
loop_
_atom_site_label
_atom_site_type_symbol
_atom_site_fract_x
_atom_site_fract_y
_atom_site_fract_z
Pr1 Pr 0.2234 0.1619 0.1848
Pr2 Pr 0.2378 0.5000 0.1850
Ni1 Ni 0.0000 0.0000 0.0000
Pt1 Pt 0.0000 0.3333 0.0000
I1 I 0.0000 0.1660 0.5000
I2 I 0.0000 0.5000 0.5000
# **Formation energy from raw total energies**: -961 meV/atom
# **Magnetic moment**: 0.00 μB/f.u.